No. 1
# TePb2SCl PBE optimized geometry
# Uncorrected energy = -0.232 Ry per atom
# Formation energy from raw total energies = 0.14 eV/atom
data_TePb2SCl
_chemical_formula_sum 'Te1 Pb2 S1 Cl1'
_space_group_name_H-M_alt 'P 4/m m m'
_space_group_IT_number 123
_space_group_name_Hall '-P 4 2'
_cell_length_a 6.073
_cell_length_b 6.073
_cell_length_c 5.139
_cell_angle_alpha 90.00
_cell_angle_beta 90.00
_cell_angle_gamma 90.00
loop_
_atom_site_label
_atom_site_fract_x
_atom_site_fract_y
_atom_site_fract_z
Te1 0.000 0.000 0.000
Pb1 0.000 0.500 0.000
S1 0.000 0.000 0.500
Cl1 0.500 0.500 0.500

=====

No. 2
# TePbS2Cl PBE optimized geometry
# Uncorrected energy = -0.278 Ry per atom
# Formation energy from raw total energies = -0.39 eV/atom
data_TePbS2Cl
_chemical_formula_sum 'Te2 Pb2 S4 Cl2'
_space_group_name_H-M_alt 'P 1 21/m 1'
_space_group_IT_number 11
_space_group_name_Hall '-P 2yb'
_cell_length_a 8.017
_cell_length_b 4.476
_cell_length_c 10.840
_cell_angle_alpha 90.00
_cell_angle_beta 98.92
_cell_angle_gamma 90.00
loop_
_atom_site_label
_atom_site_fract_x
_atom_site_fract_y
_atom_site_fract_z
Te1 0.054 0.250 0.350
Pb1 0.251 0.250 0.970
S1 0.016 0.750 0.878
S2 0.091 0.250 0.634
Cl1 0.403 0.750 0.126

=====

No. 3
# TePbSCl2 PBE optimized geometry
# Uncorrected energy = -0.210 Ry per atom
# Formation energy from raw total energies = 0.08 eV/atom
data_TePbSCl2
_chemical_formula_sum 'Te1 Pb1 S1 Cl2'
_space_group_name_H-M_alt 'P 4/m m m'
_space_group_IT_number 123
_space_group_name_Hall '-P 4 2'
_cell_length_a 5.475
_cell_length_b 5.475
_cell_length_c 5.621
_cell_angle_alpha 90.00
_cell_angle_beta 90.00
_cell_angle_gamma 90.00
loop_
_atom_site_label
_atom_site_fract_x
_atom_site_fract_y
_atom_site_fract_z
Te1 0.000 0.000 0.000
Pb1 0.500 0.500 0.500
S1 0.500 0.500 0.000
Cl1 0.000 0.500 0.500

=====

No. 4
# TePbS2Cl PBE optimized geometry
# Uncorrected energy = -0.246 Ry per atom
# Formation energy from raw total energies = 0.04 eV/atom
data_TePbS2Cl
_chemical_formula_sum 'Te1 Pb1 S2 Cl1'
_space_group_name_H-M_alt 'P 4/m m m'
_space_group_IT_number 123
_space_group_name_Hall '-P 4 2'
_cell_length_a 5.377
_cell_length_b 5.377
_cell_length_c 5.326
_cell_angle_alpha 90.00
_cell_angle_beta 90.00
_cell_angle_gamma 90.00
loop_
_atom_site_label
_atom_site_fract_x
_atom_site_fract_y
_atom_site_fract_z
Te1 0.000 0.000 0.000
Pb1 0.500 0.500 0.500
S1 0.000 0.500 0.000
Cl1 0.000 0.000 0.500